Below is a relaxed structure of Ho4BiC, with properties calculated at the PBE-GGA level.

Lattice parameters (Å, degrees): 8.4171 11.6313 6.3887 90.00 104.34 90.00
With the nearest neighbours (Å) after each atom.
Space group C2/c (No. 15)
Inequivalent atoms, fractional coordinates:
Ho  0.0972  0.1341  0.0500 x8  2 C 2.37-2.38
Ho  0.2021  0.3896  0.3872 x8  2 C 3.08-3.28, 2 Bi 3.21-3.31, 3 Ho 3.24-3.42
Bi  0.0000  0.3670  0.7500 x4  8 Ho 3.21-3.31
C  0.0000  0.0111  0.7500 x4  4 Ho 2.37-2.38

## Properties
formation energy = -0.240 eV per atom
density of states at the Fermi level = 4.57 states/eV/f.u.


Below is a relaxed structure of Ho4BiC, with properties calculated at the PBE-GGA level.

Lattice parameters (Å, degrees): 4.9114 18.7081 6.7389 90.00 90.00 90.00
With the nearest neighbours (Å) after each atom.
Space group Cmc2_1 (No. 36)
Inequivalent atoms, fractional coordinates:
Ho  0.0000  0.0022  0.0000 x4  2 C 2.47
Ho  0.0000  0.1826  0.4860 x4  1 C 2.37
Ho  0.0000  0.1870  0.9886 x4  1 C 2.37
Ho  0.0000  0.4012  0.2443 x4  2 C 2.46
Bi  0.0000  0.4111  0.7457 x4  11 Ho 3.37-3.52
C  0.0000  0.0964  0.7433 x4  6 Ho 2.37-2.47

## Properties
formation energy = -0.348 eV per atom
density of states at the Fermi level = 4.55 states/eV/f.u.


Below is a relaxed structure of Ho6Bi3C, with properties calculated at the PBE-GGA level.

Lattice parameters (Å, degrees): 11.9576 14.3261 7.2288 90.00 90.00 90.00
With the nearest neighbours (Å) after each atom.
Space group Cmc2_1 (No. 36)
Inequivalent atoms, fractional coordinates:
Ho  0.0000  0.0490  0.0000 x4  1 C 2.25
Ho  0.0000  0.2276  0.5618 x4  1 C 2.27
Ho  0.1532  0.2559  0.9993 x8  1 C 2.27
Ho  0.1580  0.4597  0.5336 x8  4 Bi 3.06-3.20
Bi  0.0000  0.3901  0.2248 x4  7 Ho 3.09-3.37
Bi  0.1731  0.0993  0.3292 x8  7 Ho 3.06-3.28
C  0.0000  0.1910  0.8668 x4  4 Ho 2.25-2.27

## Properties
formation energy = -0.399 eV per atom
density of states at the Fermi level = 9.42 states/eV/f.u.


Below is a relaxed structure of Ho12Bi5C2, with properties calculated at the PBE-GGA level.

Lattice parameters (Å, degrees): 17.0250 7.6257 9.2700 90.00 107.56 90.00
With the nearest neighbours (Å) after each atom.
Space group C2/m (No. 12)
Inequivalent atoms, fractional coordinates:
Ho  0.0012  0.0000  0.1675 x4  2 C 2.52
Ho  0.0049  0.5000  0.1855 x4  2 C 2.49
Ho  0.1379  0.2665  0.5543 x8  4 Bi 3.03-3.19
Ho  0.1472  0.2389  0.0782 x8  1 C 2.39
Bi  0.0000  0.0000  0.5000 x2  6 Ho 3.03-3.09
Bi  0.1876  0.5000  0.8451 x4  7 Ho 3.13-3.25
Bi  0.2110  0.5000  0.3505 x4  7 Ho 3.12-3.38
C  0.0000  0.2604  0.0000 x4  6 Ho 2.39-2.52

## Properties
formation energy = -0.398 eV per atom
density of states at the Fermi level = 21.26 states/eV/f.u.


Below is a relaxed structure of Ho12Bi6C, with properties calculated at the PBE-GGA level.

Lattice parameters (Å, degrees): 12.9659 12.9659 11.9706 90.00 90.00 120.00
With the nearest neighbours (Å) after each atom.
Space group R-3 (No. 148, hexagonal axes)
Inequivalent atoms, fractional coordinates:
Ho  0.0339  0.1866  0.3844 x18  4 Bi 3.11-3.37
Ho  0.0570  0.1743  0.8794 x18  1 C 2.46
Bi  0.0381  0.4250  0.3107 x18  7 Ho 3.10-3.37
C  0.0000  0.0000  0.0000 x3  6 Ho 2.46

## Properties
formation energy = -0.456 eV per atom
density of states at the Fermi level = 12.74 states/eV/f.u.


Below is a relaxed structure of Ho4InBiC, with properties calculated at the PBE-GGA level.

Lattice parameters (Å, degrees): 6.7996 15.9608 6.7989 90.00 90.00 90.00
With the nearest neighbours (Å) after each atom.
Space group Cmcm (No. 63)
Inequivalent atoms, fractional coordinates:
Ho  0.0000  0.0907  0.2500 x4  1 C 2.55
Ho  0.0000  0.4040  0.2500 x4  1 C 2.45
Ho  0.2500  0.2500  0.0000 x8  2 C 2.40
In  0.0000  0.1114  0.7500 x4  9 Ho 3.23-3.42
Bi  0.0000  0.3940  0.7500 x4  9 Ho 3.22-3.41
C  0.0000  0.2503  0.2500 x4  6 Ho 2.40-2.55

## Properties
formation energy = -0.568 eV per atom
density of states at the Fermi level = 1.18 states/eV/f.u.


Below is a relaxed structure of La2Ho5Bi3C2, with properties calculated at the PBE-GGA level.

Lattice parameters (Å, degrees): 4.8906 4.8906 26.4946 90.00 90.00 90.00
With the nearest neighbours (Å) after each atom.
Space group I4/mmm (No. 139)
Inequivalent atoms, fractional coordinates:
La  0.0000  0.0000  0.1927 x4  1 C 2.65
Ho  0.0000  0.0000  0.0000 x2  2 C 2.46
Ho  0.0000  0.5000  0.0908 x8  2 C 2.45
Bi  0.0000  0.0000  0.3233 x4  4 Ho 3.34, 5 La 3.46-3.48
Bi  0.0000  0.0000  0.5000 x2  12 Ho 3.43-3.46
C  0.0000  0.0000  0.0929 x4  5 Ho 2.45-2.46, 1 La 2.65

## Properties
formation energy = -0.675 eV per atom
density of states at the Fermi level = 9.15 states/eV/f.u.


Below is a relaxed structure of Ho2MgBiC, with properties calculated at the PBE-GGA level.

Lattice parameters (Å, degrees): 4.9703 4.9703 4.4174 90.00 90.00 90.00
With the nearest neighbours (Å) after each atom.
Space group P4/mmm (No. 123)
Inequivalent atoms, fractional coordinates:
Ho  0.0000  0.5000  0.0000 x2  2 C 2.49
Mg  0.0000  0.0000  0.5000 x1  2 C 2.21
Bi  0.5000  0.5000  0.5000 x1  8 Ho 3.32, 4 Mg 3.51
C  0.0000  0.0000  0.0000 x1  2 Mg 2.21

## Properties
formation energy = -0.455 eV per atom
density of states at the Fermi level = 1.62 states/eV/f.u.